TcAsSe2: optimized geometry, PBEsol.

Summary:
Final energy (eV per cell): -45.149
E_form (uncorrected) (eV per atom): 0.37
Distance to the lowest polymorph of the same formula (eV/atom): 0.000
DOS(E_F) (states/eV per cell): 5.1
Magnetization (μB per cell): 0.00

Cell lengths 6.4039, 6.4039, 6.4039 Å; angles 121.22, 121.22, 87.90 degrees
Last column: nearest neighbours and their distance in Å.
Positions (direct):
Tc: 0.0000 0.0000 0.0000  4 Se 2.36
Tc: 0.7500 0.2500 0.5000  4 Se 2.36
As: 0.2500 0.7500 0.5000  4 Se 2.66
As: 0.5000 0.5000 0.0000  4 Se 2.66
Se: 0.0861 0.6250 0.9611  2 Tc 2.36
Se: 0.3750 0.3361 0.4611  2 Tc 2.36
Se: 0.6639 0.1250 0.0389  2 Tc 2.36
Se: 0.8750 0.9139 0.5389  2 Tc 2.36